1.
Density functional theory data (PBE) for a geometry-optimized NpFePt structure.

Summary:
The calculation puts the total energy at -8.862 eV per atom. The calculation puts the spin magnetization at 0.26 μB per cell. The calculation puts the formation energy at 183 meV/atom.

abc: 5.9854 5.9854 5.9854
angles: 90.00 90.00 90.00
With the nearest neighbours (Å) after each atom.
Space group F-43m (No. 216)
Asymmetric unit:
Np 0.0000 0.0000 0.0000 [4 per cell]  4 Fe 2.59
Fe 0.2500 0.2500 0.7500 [4 per cell]  4 Np 2.59, 4 Pt 2.59
Pt 0.0000 0.0000 0.5000 [4 per cell]  4 Fe 2.59


2.
Density functional theory data (PBE) for a geometry-optimized PuNpFe structure.

Summary:
The calculation puts the total energy at -11.271 eV per atom. The calculation puts the spin magnetization at 33.15 μB per cell. The calculation puts the formation energy at 464 meV/atom.

abc: 6.0813 6.0813 6.0813
angles: 90.00 90.00 90.00
With the nearest neighbours (Å) after each atom.
Space group F-43m (No. 216)
Asymmetric unit:
Pu 0.0000 0.0000 0.0000 [4 per cell]  4 Fe 2.63
Np 0.0000 0.0000 0.5000 [4 per cell]  4 Fe 2.63
Fe 0.2500 0.2500 0.2500 [4 per cell]  4 Np 2.63, 4 Pu 2.63


3.
Density functional theory data (PBE) for a geometry-optimized SmNpFe structure.

Summary:
The calculation puts the total energy at -7.786 eV per atom. The calculation puts the spin magnetization at 0.03 μB per cell. The calculation puts the formation energy at 810 meV/atom.

abc: 6.3743 6.3743 6.3743
angles: 90.00 90.00 90.00
With the nearest neighbours (Å) after each atom.
Space group F-43m (No. 216)
Asymmetric unit:
Sm 0.0000 0.0000 0.0000 [4 per cell]  4 Fe 2.76
Np 0.0000 0.0000 0.5000 [4 per cell]  4 Fe 2.76
Fe 0.2500 0.2500 0.7500 [4 per cell]  4 Np 2.76, 4 Sm 2.76


4.
Density functional theory data (PBE) for a geometry-optimized TbNpFe structure.

Summary:
The calculation puts the total energy at -8.092 eV per atom. The calculation puts the spin magnetization at 13.96 μB per cell. The calculation puts the formation energy at 477 meV/atom.

abc: 6.3206 6.3206 6.3206
angles: 90.00 90.00 90.00
With the nearest neighbours (Å) after each atom.
Space group F-43m (No. 216)
Asymmetric unit:
Tb 0.0000 0.0000 0.0000 [4 per cell]  4 Fe 2.74
Np 0.0000 0.0000 0.5000 [4 per cell]  4 Fe 2.74
Fe 0.2500 0.2500 0.7500 [4 per cell]  4 Tb 2.74, 4 Np 2.74